Computed, not measured: crystalline Sc2MoCl at its relaxed geometry at the PBE level of DFT.

Geometry as POSCAR:
```
Sc2MoCl
1.0
-4.378 3.629 2.336
-6.040 -0.623 -0.961
5.372 -2.185 2.040
Sc Mo Cl
2 1 1
direct
0.007 0.007 0.000
0.729 0.229 0.500
0.239 0.739 0.500
0.525 0.525 0.000
```

Summary:
The total DFT energy (no corrections) is -25.4 eV for the cell shown. The total magnetization is 0.000 μB/atom. As for the uncorrected formation energy: -0.014 eV/atom.

***

Computed, not measured: crystalline Tb2NpRu2 at its relaxed geometry at the PBE level of DFT.

Geometry as POSCAR:
```
Tb2NpRu2
1.0
5.733 0.129 0.895
2.634 5.094 0.895
0.066 0.041 7.794
Tb Np Ru
4 2 4
direct
0.522 0.781 0.848
0.781 0.522 0.348
0.478 0.219 0.152
0.219 0.478 0.652
0.864 0.136 0.750
0.136 0.864 0.250
0.994 0.260 0.990
0.260 0.994 0.490
0.740 0.006 0.510
0.006 0.740 0.010
```

Summary:
The energy of formation from the pure elements comes out at -300.8 meV per atom. The total DFT energy (no corrections) is -84.5 eV for the cell shown. The total magnetization is 0.599 μB/atom.

***

Computed, not measured: crystalline Ho4Th3 at its relaxed geometry at the PBE level of DFT.

Geometry as POSCAR:
```
Ho4Th3
1.0
-0.946 2.958 -1.517
-4.521 -4.455 -5.868
-3.207 1.236 8.348
Th Ho
3 4
direct
0.782 0.702 0.563
0.000 0.000 0.000
0.218 0.298 0.437
0.081 0.458 0.161
0.364 0.129 0.728
0.636 0.871 0.272
0.919 0.542 0.839
```

Summary:
The energy of formation from the pure elements comes out at 149.3 meV per atom. The total DFT energy (no corrections) is -39.5 eV for the cell shown. The total magnetization is 0.000 μB/atom.

***

Computed, not measured: crystalline ZrFe2Se at its relaxed geometry at the PBE level of DFT.

Geometry as POSCAR:
```
ZrFe2Se
1.0
-3.027 -1.333 -2.218
-1.621 -3.551 0.786
-4.515 0.356 2.376
Fe Zr Se
2 1 1
direct
0.036 0.036 0.891
0.744 0.744 0.768
0.254 0.254 0.237
0.465 0.465 0.604
```

Summary:
The total DFT energy (no corrections) is -29.6 eV for the cell shown. The total magnetization is 0.946 μB/atom. As for the uncorrected formation energy: -0.165 eV/atom.

***

Computed, not measured: crystalline Tb2NdMgTl4 at its relaxed geometry at the PBE level of DFT.

Geometry as POSCAR:
```
Tb2NdMgTl4
1.0
-2.555 -1.604 -4.355
2.609 -2.637 -3.782
-2.002 -9.253 1.359
Mg Tl Tb Nd
1 4 2 1
direct
0.500 0.500 0.500
0.623 0.623 0.132
0.875 0.875 0.375
0.377 0.377 0.868
0.125 0.125 0.625
0.243 0.243 0.270
0.757 0.757 0.730
0.000 0.000 0.000
```

Summary:
The energy of formation from the pure elements comes out at -301.9 meV per atom. The total DFT energy (no corrections) is -27.5 eV for the cell shown. The total magnetization is 0.000 μB/atom.

***

Computed, not measured: crystalline TbCeHo4 at its relaxed geometry at the PBE level of DFT.

Geometry as POSCAR:
```
TbCeHo4
1.0
-0.391 1.488 -3.203
-1.361 -5.509 -2.393
-16.034 4.484 4.040
Tb Ho Ce
2 8 2
direct
0.000 0.500 0.500
0.500 0.500 0.000
0.500 0.613 0.333
0.000 0.387 0.167
0.500 0.891 0.166
0.000 0.109 0.334
0.500 0.109 0.834
0.000 0.613 0.833
0.500 0.387 0.667
0.000 0.891 0.666
0.500 0.000 0.500
0.000 0.000 0.000
```

Summary:
The energy of formation from the pure elements comes out at 22.9 meV per atom. The total DFT energy (no corrections) is -57.5 eV for the cell shown. The total magnetization is 0.132 μB/atom.

***

Computed, not measured: crystalline GaAg2S at its relaxed geometry at the PBE level of DFT.

Geometry as POSCAR:
```
GaAg2S
1.0
-5.827 3.730 -2.477
-4.132 -2.915 5.332
-4.301 2.619 3.163
Ag S Ga
4 2 2
direct
0.606 0.125 0.250
0.144 0.625 0.250
0.875 0.856 0.750
0.375 0.394 0.750
0.500 0.500 0.000
0.250 0.750 0.500
0.750 0.250 0.500
0.000 0.000 0.000
```

Summary:
The total DFT energy (no corrections) is -24.5 eV for the cell shown. The total magnetization is 0.000 μB/atom. As for the uncorrected formation energy: 0.147 eV/atom.

***

Computed, not measured: crystalline MoPIr3 at its relaxed geometry at the PBE level of DFT.

Geometry as POSCAR:
```
MoPIr3
1.0
4.714 0.000 0.000
0.000 4.714 0.000
0.000 0.000 4.714
Mo Ir P
1 3 1
direct
0.000 0.000 0.000
0.000 0.500 0.000
0.500 0.000 0.000
0.000 0.000 0.500
0.500 0.500 0.500
```

Summary:
The energy of formation from the pure elements comes out at 1921.9 meV per atom. The total DFT energy (no corrections) is -33.2 eV for the cell shown. The total magnetization is 0.000 μB/atom.

***

Computed, not measured: crystalline KGaGe2 at its relaxed geometry at the PBE level of DFT.

Geometry as POSCAR:
```
KGaGe2
1.0
5.231 0.000 0.000
0.000 5.231 0.000
2.616 2.616 8.899
Ge Ga K
4 2 2
direct
0.875 0.625 0.250
0.875 0.125 0.250
0.875 0.125 0.750
0.375 0.125 0.750
0.750 0.250 0.500
0.000 0.000 0.000
0.500 0.500 0.000
0.250 0.750 0.500
```

Summary:
The energy of formation from the pure elements comes out at 80.4 meV per atom. The total DFT energy (no corrections) is -26.1 eV for the cell shown. The total magnetization is 0.000 μB/atom.

***

Computed, not measured: crystalline CaLa2Re2 at its relaxed geometry at the PBE level of DFT.

Geometry as POSCAR:
```
CaLa2Re2
1.0
-1.169 -4.607 -0.573
1.964 -1.026 4.244
-4.803 -1.827 4.482
La Ca Re
2 1 2
direct
0.750 0.250 0.500
0.250 0.750 0.500
0.000 0.000 0.000
0.400 0.400 0.200
0.600 0.600 0.800
```

Summary:
The energy of formation from the pure elements comes out at 611.1 meV per atom. The total DFT energy (no corrections) is -33.7 eV for the cell shown. The total magnetization is 0.000 μB/atom.

***

Computed, not measured: crystalline YZr2Ni at its relaxed geometry at the PBE level of DFT.

Geometry as POSCAR:
```
YZr2Ni
1.0
0.000 3.452 3.452
3.452 0.000 3.452
3.452 3.452 0.000
Y Zr Ni
1 2 1
direct
0.500 0.500 0.500
0.250 0.250 0.250
0.750 0.750 0.750
0.000 0.000 0.000
```

Summary:
The energy of formation from the pure elements comes out at 239.6 meV per atom. The total DFT energy (no corrections) is -28.4 eV for the cell shown. The total magnetization is 0.000 μB/atom.

***

Computed, not measured: crystalline Na4Sr2TiP4 at its relaxed geometry at the PBE level of DFT.

Geometry as POSCAR:
```
Na4Sr2TiP4
1.0
9.394 -0.005 0.002
-4.745 8.107 0.002
0.036 0.063 7.426
Sr Na P Ti
4 8 8 2
direct
0.477 0.535 0.388
0.057 0.533 0.391
0.535 0.477 0.888
0.533 0.057 0.891
0.129 0.277 0.736
0.870 0.733 0.204
0.277 0.129 0.236
0.855 0.133 0.224
0.937 0.471 0.888
0.133 0.855 0.724
0.471 0.937 0.388
0.733 0.870 0.704
0.336 0.663 0.675
0.808 0.196 0.601
0.196 0.808 0.101
0.806 0.615 0.593
0.196 0.385 0.112
0.385 0.196 0.612
0.663 0.336 0.175
0.615 0.806 0.093
0.327 0.662 0.998
0.662 0.327 0.498
```

Summary:
The energy of formation from the pure elements comes out at -769.8 meV per atom. The total DFT energy (no corrections) is -93.3 eV for the cell shown. The total magnetization is 0.000 μB/atom.

***

Computed, not measured: crystalline Ta2FeCu at its relaxed geometry at the PBE level of DFT.

Geometry as POSCAR:
```
Ta2FeCu
1.0
-6.617 -0.269 -1.809
-0.302 -6.536 2.077
-4.165 -2.588 2.594
Fe Ta Cu
2 4 2
direct
0.500 0.500 0.000
0.250 0.750 0.500
0.596 0.125 0.250
0.375 0.404 0.750
0.875 0.846 0.750
0.154 0.625 0.250
0.750 0.250 0.500
0.000 0.000 0.000
```

Summary:
The energy of formation from the pure elements comes out at 489.5 meV per atom. The total DFT energy (no corrections) is -68.6 eV for the cell shown. The total magnetization is 0.000 μB/atom.

***

Computed, not measured: crystalline NbCrBi2 at its relaxed geometry at the PBE level of DFT.

Geometry as POSCAR:
```
NbCrBi2
1.0
-2.214 -1.107 -6.022
4.822 -4.262 -0.989
-2.402 -7.394 -1.277
Nb Bi Cr
2 4 2
direct
0.750 0.250 0.500
0.000 0.000 0.000
0.627 0.125 0.250
0.123 0.625 0.250
0.875 0.877 0.750
0.375 0.373 0.750
0.500 0.500 0.000
0.250 0.750 0.500
```

Summary:
The energy of formation from the pure elements comes out at 938.1 meV per atom. The total DFT energy (no corrections) is -47.4 eV for the cell shown. The total magnetization is 1.250 μB/atom.

***

Computed, not measured: crystalline LiPa2SbN5 at its relaxed geometry at the PBE level of DFT.

Geometry as POSCAR:
```
LiPa2SbN5
1.0
-3.306 -0.035 0.216
2.089 -1.229 6.356
0.020 10.133 1.953
Sb N Pa Li
2 10 4 2
direct
0.801 0.601 0.511
0.199 0.399 0.011
0.488 0.975 0.774
0.692 0.384 0.880
0.640 0.280 0.500
0.046 0.092 0.061
0.954 0.908 0.561
0.308 0.616 0.380
0.360 0.720 0.000
0.512 0.025 0.274
0.281 0.561 0.667
0.719 0.439 0.167
0.092 0.184 0.666
0.137 0.274 0.306
0.863 0.726 0.806
0.908 0.816 0.166
0.527 0.054 0.958
0.473 0.946 0.458
```

Summary:
The total DFT energy (no corrections) is -145.7 eV for the cell shown. The total magnetization is 0.000 μB/atom. As for the uncorrected formation energy: -0.686 eV/atom.

***

Computed, not measured: crystalline Pm4SmPt2 at its relaxed geometry at the PBE level of DFT.

Geometry as POSCAR:
```
Pm4SmPt2
1.0
6.644 1.358 0.005
0.885 7.689 -0.409
-3.912 -4.836 8.460
Pt Pm Sm
4 8 2
direct
0.783 0.850 0.267
0.497 0.434 0.636
0.804 0.363 0.274
0.028 0.472 0.835
0.743 0.641 0.610
0.449 0.192 0.266
0.329 0.719 0.890
0.134 0.187 0.486
0.785 0.078 0.617
0.412 0.659 0.220
0.874 0.419 0.035
0.394 0.159 0.846
0.871 0.917 0.050
0.149 0.660 0.468
```

Summary:
The energy of formation from the pure elements comes out at -642.3 meV per atom. The total DFT energy (no corrections) is -80.6 eV for the cell shown. The total magnetization is 0.000 μB/atom.

***

Computed, not measured: crystalline MgOsW2 at its relaxed geometry at the PBE level of DFT.

Geometry as POSCAR:
```
MgOsW2
1.0
-3.281 -2.621 -1.389
1.614 -0.973 -1.976
2.197 -4.107 2.560
W Os Mg
2 1 1
direct
0.000 0.995 0.997
0.500 0.208 0.256
0.500 0.782 0.744
0.000 0.515 0.502
```

Summary:
The energy of formation from the pure elements comes out at 279.9 meV per atom. The total DFT energy (no corrections) is -37.6 eV for the cell shown. The total magnetization is 0.000 μB/atom.

***

Computed, not measured: crystalline YGaMo3 at its relaxed geometry at the PBE level of DFT.

Geometry as POSCAR:
```
YGaMo3
1.0
4.713 0.000 0.000
0.000 4.713 0.000
0.000 0.000 4.713
Mo Y Ga
3 1 1
direct
0.000 0.500 0.000
0.500 0.000 0.000
0.000 0.000 0.500
0.500 0.500 0.500
0.000 0.000 0.000
```

Summary:
The energy of formation from the pure elements comes out at 1072.5 meV per atom. The total DFT energy (no corrections) is -36.6 eV for the cell shown. The total magnetization is 0.000 μB/atom.

***

Computed, not measured: crystalline Be2AlCl at its relaxed geometry at the PBE level of DFT.

Geometry as POSCAR:
```
Be2AlCl
1.0
-3.487 0.046 3.671
-4.277 -1.973 1.857
2.223 -2.998 2.368
Cl Be Al
1 2 1
direct
0.509 0.509 0.634
0.715 0.715 0.701
0.006 0.006 0.975
0.269 0.269 0.190
```

Summary:
The total DFT energy (no corrections) is -11.8 eV for the cell shown. The total magnetization is 0.000 μB/atom. As for the uncorrected formation energy: 0.312 eV/atom.

***

Computed, not measured: crystalline Sm9Tl2Cd at its relaxed geometry at the PBE level of DFT.

Geometry as POSCAR:
```
Sm9Tl2Cd
1.0
4.943 0.000 0.000
0.000 4.943 0.000
0.000 0.000 14.788
Sm Tl Cd
9 2 1
direct
0.000 0.500 0.165
0.000 0.500 0.500
0.500 0.500 0.331
0.000 0.500 0.835
0.500 0.500 0.669
0.500 0.500 0.000
0.500 0.000 0.165
0.500 0.000 0.500
0.500 0.000 0.835
0.000 0.000 0.334
0.000 0.000 0.666
0.000 0.000 0.000
```

Summary:
The energy of formation from the pure elements comes out at -163.6 meV per atom. The total DFT energy (no corrections) is -50.1 eV for the cell shown. The total magnetization is 0.186 μB/atom.

***

Computed, not measured: crystalline Tb5PmEr5 at its relaxed geometry at the PBE level of DFT.

Geometry as POSCAR:
```
Tb5PmEr5
1.0
6.069 0.000 0.000
-3.035 5.256 0.000
0.000 0.000 11.431
Er Pm Tb
5 1 5
direct
0.000 0.000 0.000
0.333 0.667 0.326
0.333 0.667 0.674
0.667 0.333 0.841
0.667 0.333 0.159
0.333 0.667 0.000
0.831 0.169 0.500
0.337 0.169 0.500
0.000 0.000 0.264
0.831 0.663 0.500
0.000 0.000 0.736
```

Summary:
The energy of formation from the pure elements comes out at 330.4 meV per atom. The total DFT energy (no corrections) is -47.1 eV for the cell shown. The total magnetization is 0.000 μB/atom.

***

Computed, not measured: crystalline SmSiTc at its relaxed geometry at the PBE level of DFT.

Geometry as POSCAR:
```
SmSiTc
1.0
-1.510 0.638 3.630
-3.087 -2.760 -0.800
3.611 -1.319 1.734
Sm Tc Si
1 1 1
direct
0.667 0.667 0.333
0.167 0.333 0.667
0.167 0.000 0.000
```

Summary:
The total DFT energy (no corrections) is -21.7 eV for the cell shown. The total magnetization is 0.000 μB/atom. As for the uncorrected formation energy: -0.386 eV/atom.

***

Computed, not measured: crystalline La2PmSb at its relaxed geometry at the PBE level of DFT.

Geometry as POSCAR:
```
La2PmSb
1.0
-4.595 1.966 0.597
0.244 -0.901 4.843
1.999 4.450 0.727
Sb Pm La
1 1 2
direct
0.500 0.000 0.000
0.500 0.500 0.500
0.000 0.500 0.000
0.000 0.000 0.500
```

Summary:
The total DFT energy (no corrections) is -21.1 eV for the cell shown. The total magnetization is 0.000 μB/atom. As for the uncorrected formation energy: -0.599 eV/atom.

***

Computed, not measured: crystalline Sr3ErPa2N6 at its relaxed geometry at the PBE level of DFT.

Geometry as POSCAR:
```
Sr3ErPa2N6
1.0
-1.478 5.968 0.865
-4.379 -4.378 0.454
3.119 -1.090 5.429
Er N Sr Pa
1 6 3 2
direct
0.000 0.000 0.000
0.720 0.720 0.199
0.413 0.066 0.199
0.934 0.587 0.801
0.587 0.934 0.801
0.280 0.280 0.801
0.066 0.413 0.199
0.836 0.164 0.500
0.164 0.836 0.500
0.500 0.500 0.500
0.333 0.667 0.000
0.667 0.333 0.000
```

Summary:
The total DFT energy (no corrections) is -95.3 eV for the cell shown. The total magnetization is 0.000 μB/atom. As for the uncorrected formation energy: -1.394 eV/atom.